(1)
# Ba2CaAlMo

A relaxed Ba2CaAlMo crystal (PBE, Alexandria).

```
data_Ba2CaAlMo
_space_group_name_H-M_alt 'P 4/m m m'
_space_group_IT_number 123
_space_group_name_Hall '-P 4 2'
_cell_length_a 5.7980
_cell_length_b 5.7980
_cell_length_c 5.7264
_cell_angle_alpha 90.00
_cell_angle_beta 90.00
_cell_angle_gamma 90.00
loop_
_atom_site_label
_atom_site_type_symbol
_atom_site_fract_x
_atom_site_fract_y
_atom_site_fract_z
Ba1 Ba 0.0000 0.5000 0.0000
Ca1 Ca 0.0000 0.0000 0.5000
Al1 Al 0.5000 0.5000 0.5000
Mo1 Mo 0.0000 0.0000 0.0000
```

- total magnetic moment (μB/atom) = 0.122
- DFT formation energy (meV/atom) = 851

(2)
# BaNaCaAl

A relaxed BaNaCaAl crystal (PBE, Alexandria).

```
data_BaNaCaAl
_space_group_name_H-M_alt 'F -4 3 m'
_space_group_IT_number 216
_space_group_name_Hall 'F -4 2 3'
_cell_length_a 8.2213
_cell_length_b 8.2213
_cell_length_c 8.2213
_cell_angle_alpha 90.00
_cell_angle_beta 90.00
_cell_angle_gamma 90.00
loop_
_atom_site_label
_atom_site_type_symbol
_atom_site_fract_x
_atom_site_fract_y
_atom_site_fract_z
Ba1 Ba 0.0000 0.0000 0.0000
Na1 Na 0.2500 0.2500 0.2500
Ca1 Ca 0.0000 0.0000 0.5000
Al1 Al 0.2500 0.2500 0.7500
```

- total magnetic moment (μB/atom) = 0.000
- DFT formation energy (meV/atom) = -35

(3)
# BaCa2AlNi

A relaxed BaCa2AlNi crystal (PBE, Alexandria).

```
data_BaCa2AlNi
_space_group_name_H-M_alt 'P 4/m m m'
_space_group_IT_number 123
_space_group_name_Hall '-P 4 2'
_cell_length_a 5.5065
_cell_length_b 5.5065
_cell_length_c 4.8914
_cell_angle_alpha 90.00
_cell_angle_beta 90.00
_cell_angle_gamma 90.00
loop_
_atom_site_label
_atom_site_type_symbol
_atom_site_fract_x
_atom_site_fract_y
_atom_site_fract_z
Ba1 Ba 0.0000 0.0000 0.0000
Ca1 Ca 0.0000 0.5000 0.5000
Al1 Al 0.5000 0.5000 0.0000
Ni1 Ni 0.5000 0.5000 0.5000
```

- total magnetic moment (μB/atom) = 0.000
- DFT formation energy (meV/atom) = -109

(4)
# BaCaAl2Ni

A relaxed BaCaAl2Ni crystal (PBE, Alexandria).

```
data_BaCaAl2Ni
_space_group_name_H-M_alt 'P 4/m m m'
_space_group_IT_number 123
_space_group_name_Hall '-P 4 2'
_cell_length_a 4.8229
_cell_length_b 4.8229
_cell_length_c 5.2850
_cell_angle_alpha 90.00
_cell_angle_beta 90.00
_cell_angle_gamma 90.00
loop_
_atom_site_label
_atom_site_type_symbol
_atom_site_fract_x
_atom_site_fract_y
_atom_site_fract_z
Ba1 Ba 0.0000 0.0000 0.0000
Ca1 Ca 0.5000 0.5000 0.0000
Al1 Al 0.0000 0.5000 0.5000
Ni1 Ni 0.5000 0.5000 0.5000
```

- total magnetic moment (μB/atom) = 0.000
- DFT formation energy (meV/atom) = -190

(5)
# BaCa2AlO

A relaxed BaCa2AlO crystal (PBE, Alexandria).

```
data_BaCa2AlO
_space_group_name_H-M_alt 'P 4/m m m'
_space_group_IT_number 123
_space_group_name_Hall '-P 4 2'
_cell_length_a 4.9091
_cell_length_b 4.9091
_cell_length_c 5.4694
_cell_angle_alpha 90.00
_cell_angle_beta 90.00
_cell_angle_gamma 90.00
loop_
_atom_site_label
_atom_site_type_symbol
_atom_site_fract_x
_atom_site_fract_y
_atom_site_fract_z
Ba1 Ba 0.0000 0.0000 0.0000
Ca1 Ca 0.0000 0.5000 0.5000
Al1 Al 0.5000 0.5000 0.0000
O1 O 0.0000 0.0000 0.5000
```

- total magnetic moment (μB/atom) = 0.000
- energy relative to the elements, uncorrected (eV/atom) = -1.13

(6)
# Ba2CaAlO5

A relaxed Ba2CaAlO5 crystal (PBE, Alexandria).

```
data_Ba2CaAlO5
_space_group_name_H-M_alt 'C m c 21'
_space_group_IT_number 36
_cell_length_a 3.4998
_cell_length_b 15.0857
_cell_length_c 11.3603
_cell_angle_alpha 90.00
_cell_angle_beta 90.00
_cell_angle_gamma 90.00
loop_
_space_group_symop_operation_xyz
'x,y,z'
'-x,-y,z+1/2'
'-x,y,z'
'x,-y,z+1/2'
'x+1/2,y+1/2,z'
'-x+1/2,-y+1/2,z+1/2'
'-x+1/2,y+1/2,z'
'x+1/2,-y+1/2,z+1/2'
loop_
_atom_site_label
_atom_site_type_symbol
_atom_site_fract_x
_atom_site_fract_y
_atom_site_fract_z
Ba1 Ba 0.0000 0.1052 0.0000
Ba2 Ba 0.0000 0.1450 0.6472
Ca1 Ca 0.0000 0.1946 0.3460
Al1 Al 0.0000 0.4560 0.7470
O1 O 0.0000 0.0308 0.3118
O2 O 0.0000 0.2866 0.9855
O3 O 0.0000 0.3394 0.7143
O4 O 0.0000 0.3460 0.3280
O5 O 0.0000 0.4881 0.1109
```

- total magnetic moment (μB/atom) = 0.118
- energy relative to the elements, uncorrected (eV/atom) = -2.52

(7)
# Ba2CaAl2O6

A relaxed Ba2CaAl2O6 crystal (PBE, Alexandria).

```
data_Ba2CaAl2O6
_space_group_name_H-M_alt 'R -3 m'
_space_group_IT_number 166
_space_group_name_Hall '-R 3 2"'
_cell_length_a 5.9827
_cell_length_b 5.9827
_cell_length_c 18.1598
_cell_angle_alpha 90.00
_cell_angle_beta 90.00
_cell_angle_gamma 120.00
loop_
_atom_site_label
_atom_site_type_symbol
_atom_site_fract_x
_atom_site_fract_y
_atom_site_fract_z
Ba1 Ba 0.0000 0.0000 0.2059
Ca1 Ca 0.0000 0.0000 0.0000
Al1 Al 0.0000 0.0000 0.4187
O1 O 0.0036 0.5018 0.2458
```

- total magnetic moment (μB/atom) = 0.000
- energy relative to the elements, uncorrected (eV/atom) = -2.71

(8)
# Ba3CaAl2O6

A relaxed Ba3CaAl2O6 crystal (PBE, Alexandria).

```
data_Ba3CaAl2O6
_space_group_name_H-M_alt 'P -3 m 1'
_space_group_IT_number 164
_space_group_name_Hall '-P 3 2"'
_cell_length_a 6.0208
_cell_length_b 6.0208
_cell_length_c 7.2102
_cell_angle_alpha 90.00
_cell_angle_beta 90.00
_cell_angle_gamma 120.00
loop_
_atom_site_label
_atom_site_type_symbol
_atom_site_fract_x
_atom_site_fract_y
_atom_site_fract_z
Ba1 Ba 0.0000 0.0000 0.0000
Ba2 Ba 0.3333 0.6667 0.6609
Ca1 Ca 0.0000 0.0000 0.5000
Al1 Al 0.3333 0.6667 0.2168
O1 O 0.1749 0.3499 0.2993
```

- total magnetic moment (μB/atom) = 0.123
- energy relative to the elements, uncorrected (eV/atom) = -2.57

(9)
# Ba2CaAlO

A relaxed Ba2CaAlO crystal (PBE, Alexandria).

```
data_Ba2CaAlO
_space_group_name_H-M_alt 'P 4/m m m'
_space_group_IT_number 123
_space_group_name_Hall '-P 4 2'
_cell_length_a 5.7152
_cell_length_b 5.7152
_cell_length_c 4.6291
_cell_angle_alpha 90.00
_cell_angle_beta 90.00
_cell_angle_gamma 90.00
loop_
_atom_site_label
_atom_site_type_symbol
_atom_site_fract_x
_atom_site_fract_y
_atom_site_fract_z
Ba1 Ba 0.0000 0.5000 0.0000
Ca1 Ca 0.0000 0.0000 0.5000
Al1 Al 0.5000 0.5000 0.5000
O1 O 0.0000 0.0000 0.0000
```

- total magnetic moment (μB/atom) = 0.000
- energy relative to the elements, uncorrected (eV/atom) = -1.10

(10)
# BaCaAlPb

A relaxed BaCaAlPb crystal (PBE, Alexandria).

```
data_BaCaAlPb
_space_group_name_H-M_alt 'F -4 3 m'
_space_group_IT_number 216
_space_group_name_Hall 'F -4 2 3'
_cell_length_a 8.0921
_cell_length_b 8.0921
_cell_length_c 8.0921
_cell_angle_alpha 90.00
_cell_angle_beta 90.00
_cell_angle_gamma 90.00
loop_
_atom_site_label
_atom_site_type_symbol
_atom_site_fract_x
_atom_site_fract_y
_atom_site_fract_z
Ba1 Ba 0.0000 0.0000 0.0000
Ca1 Ca 0.0000 0.0000 0.5000
Al1 Al 0.2500 0.2500 0.7500
Pb1 Pb 0.2500 0.2500 0.2500
```

- total magnetic moment (μB/atom) = 0.000
- DFT formation energy (meV/atom) = -262

(11)
# BaCaAl2Pd

A relaxed BaCaAl2Pd crystal (PBE, Alexandria).

```
data_BaCaAl2Pd
_space_group_name_H-M_alt 'P 4/m m m'
_space_group_IT_number 123
_space_group_name_Hall '-P 4 2'
_cell_length_a 4.9967
_cell_length_b 4.9967
_cell_length_c 5.4048
_cell_angle_alpha 90.00
_cell_angle_beta 90.00
_cell_angle_gamma 90.00
loop_
_atom_site_label
_atom_site_type_symbol
_atom_site_fract_x
_atom_site_fract_y
_atom_site_fract_z
Ba1 Ba 0.0000 0.0000 0.0000
Ca1 Ca 0.5000 0.5000 0.0000
Al1 Al 0.0000 0.5000 0.5000
Pd1 Pd 0.5000 0.5000 0.5000
```

- total magnetic moment (μB/atom) = 0.000
- DFT formation energy (meV/atom) = -339

(12)
# BaCaAlPd

A relaxed BaCaAlPd crystal (PBE, Alexandria).

```
data_BaCaAlPd
_space_group_name_H-M_alt 'R 3 m'
_space_group_IT_number 160
_space_group_name_Hall 'R 3 -2"'
_cell_length_a 4.4397
_cell_length_b 4.4397
_cell_length_c 23.9765
_cell_angle_alpha 90.00
_cell_angle_beta 90.00
_cell_angle_gamma 120.00
loop_
_atom_site_label
_atom_site_type_symbol
_atom_site_fract_x
_atom_site_fract_y
_atom_site_fract_z
Ba1 Ba 0.0000 0.0000 0.0000
Ca1 Ca 0.0000 0.0000 0.1749
Al1 Al 0.0000 0.0000 0.7639
Pd1 Pd 0.0000 0.0000 0.4327
```

- total magnetic moment (μB/atom) = 0.000
- DFT formation energy (meV/atom) = -452

(13)
# BaCa2AlPd

A relaxed BaCa2AlPd crystal (PBE, Alexandria).

```
data_BaCa2AlPd
_space_group_name_H-M_alt 'P 4/m m m'
_space_group_IT_number 123
_space_group_name_Hall '-P 4 2'
_cell_length_a 5.6141
_cell_length_b 5.6141
_cell_length_c 5.0642
_cell_angle_alpha 90.00
_cell_angle_beta 90.00
_cell_angle_gamma 90.00
loop_
_atom_site_label
_atom_site_type_symbol
_atom_site_fract_x
_atom_site_fract_y
_atom_site_fract_z
Ba1 Ba 0.0000 0.0000 0.0000
Ca1 Ca 0.0000 0.5000 0.5000
Al1 Al 0.5000 0.5000 0.0000
Pd1 Pd 0.5000 0.5000 0.5000
```

- total magnetic moment (μB/atom) = 0.000
- DFT formation energy (meV/atom) = -325